The following is a DFT calculation (PBE) of a relaxed Ho4GeBi2As crystal.

```
Ho4GeBi2As
1.0
7.318 0.000 0.000
0.000 4.203 0.000
-2.428 0.000 7.236
Ho Ge Bi As
4 1 2 1
direct
0.239 0.000 0.221 Ho
0.258 0.500 0.780 Ho
0.742 0.500 0.220 Ho
0.761 0.000 0.779 Ho
0.000 0.500 0.000 Ge
0.000 0.000 0.500 Bi
0.500 0.500 0.500 Bi
0.500 0.000 0.000 As
```

Computed properties:
SG = P2/m, No. 10
crystal system = monoclinic
energy relative to the elements = -962 meV per atom



The following is a DFT calculation (PBE) of a relaxed KNpS2 crystal.

```
KNpS2
1.0
3.478 0.000 0.000
0.000 3.478 0.000
0.000 0.000 7.625
K Np S
1 1 2
direct
0.000 0.000 0.000 K
0.000 0.000 0.500 Np
0.500 0.500 0.294 S
0.500 0.500 0.706 S
```

Computed properties:
SG = P4/mmm, No. 123
crystal system = tetragonal
formation energy without anion corrections = -1232 meV/atom



The following is a DFT calculation (PBE) of a relaxed Ce3Ge2H crystal.

```
Ce3Ge2H
1.0
4.586 -3.803 0.000
4.586 3.803 0.000
-1.639 0.000 7.319
Ce Ge H
6 4 2
direct
0.098 0.902 0.750 Ce
0.251 0.434 0.023 Ce
0.434 0.251 0.523 Ce
0.566 0.749 0.477 Ce
0.749 0.566 0.977 Ce
0.902 0.098 0.250 Ce
0.055 0.618 0.369 Ge
0.382 0.945 0.131 Ge
0.618 0.055 0.869 Ge
0.945 0.382 0.631 Ge
0.415 0.585 0.750 H
0.585 0.415 0.250 H
```

Computed properties:
SG = C2/c, No. 15
crystal system = monoclinic



The following is a DFT calculation (PBE) of a relaxed Sm2BeP3Ir4 crystal.

```
Sm2BeP3Ir4
1.0
4.083 0.000 0.000
0.000 4.083 0.000
0.000 0.000 9.706
Sm Be P Ir
2 1 3 4
direct
0.000 0.500 0.241 Sm
0.500 0.000 0.759 Sm
0.500 0.500 0.000 Be
0.000 0.000 0.000 P
0.000 0.500 0.641 P
0.500 0.000 0.359 P
0.000 0.000 0.500 Ir
0.000 0.500 0.881 Ir
0.500 0.000 0.119 Ir
0.500 0.500 0.500 Ir
```

Computed properties:
SG = P-4m2, No. 115
crystal system = tetragonal
energy relative to the elements = -958 meV per atom



| no. | M_tot (μB per formula unit) | electronic total energy (eV/atom) |
| --- | --- | --- |
| 1 | 0.00 | -5.3791 |
| 2 | 3.98 | -6.8054 |
| 3 | 2.57 | -5.6831 |
| 4 | 0.00 | -7.4421 |